1.
DFT (PBE-GGA) results for a relaxed LaSm3TmTh crystal.

## Properties
Volume ... 33.54 A^3/atom
Energy of formation ... 0.036 eV per atom
Space-group type ... P2_1/m

a b c (Å): 8.108 5.112 10.254
angles (deg): 90.00 108.75 90.00
Sites, in units of the cell vectors:
La 0.172 0.250 0.293
La 0.828 0.750 0.707
Sm 0.173 0.750 0.545
Sm 0.180 0.250 0.795
Sm 0.180 0.750 0.044
Sm 0.820 0.250 0.956
Sm 0.820 0.750 0.205
Sm 0.827 0.250 0.455
Tm 0.499 0.250 0.629
Tm 0.501 0.750 0.371
Th 0.499 0.750 0.878
Th 0.501 0.250 0.122



2.
DFT (PBE-GGA) results for a relaxed CePmBi crystal.

## Properties
Volume ... 30.41 A^3/atom
Energy of formation ... -0.669 eV per atom
Energy above the most stable polymorph in this dataset ... 0.0 kJ per mole of atoms
Space-group type ... I4/mmm

a b c (Å): 4.497 4.497 18.046
angles (deg): 90.00 90.00 90.00
Sites, in units of the cell vectors:
Ce 0.000 0.500 0.000
Ce 0.000 0.500 0.500
Ce 0.500 0.000 0.000
Ce 0.500 0.000 0.500
Pm 0.000 0.000 0.178
Pm 0.000 0.000 0.822
Pm 0.500 0.500 0.322
Pm 0.500 0.500 0.678
Bi 0.000 0.000 0.361
Bi 0.000 0.000 0.639
Bi 0.500 0.500 0.139
Bi 0.500 0.500 0.861



3.
DFT (PBE-GGA) results for a relaxed Y2NiHPt6 crystal.

## Properties
Volume ... 16.65 A^3/atom
VASP energy ... -65.469 eV/cell
Space-group type ... R-3m

a b c (Å): 6.987 6.987 6.987
angles (deg): 46.96 46.96 46.96
Sites, in units of the cell vectors:
Y 0.210 0.210 0.210
Y 0.790 0.790 0.790
Ni 0.500 0.500 0.500
H 0.000 0.000 0.000
Pt 0.233 0.233 0.726
Pt 0.233 0.726 0.233
Pt 0.274 0.767 0.767
Pt 0.726 0.233 0.233
Pt 0.767 0.274 0.767
Pt 0.767 0.767 0.274



4.
DFT (PBE-GGA) results for a relaxed Rb2NbSnBr6 crystal.

## Properties
Volume ... 36.33 A^3/atom
VASP energy ... -36.348 eV/cell
Space-group type ... Fm-3m

a b c (Å): 8.009 8.009 8.009
angles (deg): 60.00 60.00 60.00
Sites, in units of the cell vectors:
Rb 0.250 0.250 0.250
Rb 0.750 0.750 0.750
Nb 0.000 0.000 0.000
Sn 0.500 0.500 0.500
Br 0.240 0.240 0.760
Br 0.240 0.760 0.240
Br 0.240 0.760 0.760
Br 0.760 0.240 0.240
Br 0.760 0.240 0.760
Br 0.760 0.760 0.240



5.
DFT (PBE-GGA) results for a relaxed Sc2SiBr crystal.

## Properties
Volume ... 20.07 A^3/atom
Energy above the most stable polymorph in this dataset ... 31.1 kJ per mole of atoms
Space-group type ... C2/m

a b c (Å): 7.060 7.226 3.210
angles (deg): 90.00 101.37 90.00
Sites, in units of the cell vectors:
Sc 0.250 0.250 0.000
Sc 0.250 0.750 0.000
Sc 0.750 0.250 0.000
Sc 0.750 0.750 0.000
Si 0.000 0.000 0.500
Si 0.500 0.500 0.500
Br 0.000 0.500 0.500
Br 0.500 0.000 0.500



6.
DFT (PBE-GGA) results for a relaxed Ta2ZnCu crystal.

## Properties
Volume ... 15.67 A^3/atom
Energy of formation ... 0.076 eV per atom
Space-group type ... P4/mmm

a b c (Å): 4.012 4.012 3.892
angles (deg): 90.00 90.00 90.00
Sites, in units of the cell vectors:
Ta 0.000 0.500 0.000
Ta 0.500 0.000 0.000
Zn 0.000 0.000 0.500
Cu 0.500 0.500 0.500



Question: Among the records above, which one has the highest volume?
Answer: Rb2NbSnBr6



Question: Among the records above, which one has the highest volume?
Answer: Rb2NbSnBr6



Question: The lowest volume belongs to which entry?
Answer: Ta2ZnCu